Here is crystalline HfGaSi at its relaxed geometry from Alexandria via LeMat-Bulk. Energies are from PBE.

Output
Size of the total moment = 0.00 μB/cell
ΔE to the lowest computed polymorph = 53 meV per atom

```
data_HfGaSi
_symmetry_space_group_name_H-M 'C m m m'
_symmetry_Int_Tables_number 65
_symmetry_space_group_name_Hall '-C 2 2'
_cell_length_a 3.766
_cell_length_b 14.140
_cell_length_c 3.837
_cell_angle_alpha 90.00
_cell_angle_beta 90.00
_cell_angle_gamma 90.00
loop_
_atom_site_label
_atom_site_type_symbol
_atom_site_fract_x
_atom_site_fract_y
_atom_site_fract_z
Hf1 Hf 0.000 0.150 0.000
Ga1 Ga 0.000 0.000 0.500
Ga2 Ga 0.000 0.500 0.000
Si1 Si 0.000 0.310 0.500
```

***

Here is crystalline Hf4GaSi2 at its relaxed geometry from Alexandria via LeMat-Bulk. Energies are from PBE.

Output
Raw total energy = -112.1 eV for the cell shown
Size of the total moment = 0.00 μB/cell

```
data_Hf4GaSi2
_symmetry_space_group_name_H-M 'C 1 2/m 1'
_symmetry_Int_Tables_number 12
_symmetry_space_group_name_Hall '-C 2y'
_cell_length_a 13.000
_cell_length_b 3.680
_cell_length_c 6.733
_cell_angle_alpha 90.00
_cell_angle_beta 118.76
_cell_angle_gamma 90.00
loop_
_atom_site_label
_atom_site_type_symbol
_atom_site_fract_x
_atom_site_fract_y
_atom_site_fract_z
Hf1 Hf 0.120 0.000 0.255
Hf2 Hf 0.124 0.500 0.852
Ga1 Ga 0.000 0.000 0.500
Si1 Si 0.228 0.000 0.711
```